1.
# Pm3CdGa | Alexandria | PBE | relaxed
data_Pm3CdGa
_symmetry_space_group_name_H-M 'P 1'
_symmetry_Int_Tables_number 1
_symmetry_space_group_name_Hall 'P 1'
_cell_length_a 7.1301
_cell_length_b 7.9958
_cell_length_c 10.1761
_cell_angle_alpha 90.00
_cell_angle_beta 95.66
_cell_angle_gamma 90.00
loop_
_atom_site_label
_atom_site_fract_x
_atom_site_fract_y
_atom_site_fract_z
_atom_site_occupancy
Pm1 0.1616 0.1365 0.4061 1
Pm2 0.1616 0.3635 0.9061 1
Pm3 0.2096 0.5372 0.6010 1
Pm4 0.2096 0.9628 0.1010 1
Pm5 0.3034 0.5120 0.2424 1
Pm6 0.3034 0.9880 0.7424 1
Pm7 0.6966 0.0120 0.2576 1
Pm8 0.6966 0.4880 0.7576 1
Pm9 0.7904 0.0372 0.8990 1
Pm10 0.7904 0.4628 0.3990 1
Pm11 0.8384 0.6365 0.0939 1
Pm12 0.8384 0.8635 0.5939 1
Cd1 0.4359 0.6926 0.9467 1
Cd2 0.4359 0.8074 0.4467 1
Cd3 0.5641 0.1926 0.5533 1
Cd4 0.5641 0.3074 0.0533 1
Ga1 0.0441 0.7287 0.8551 1
Ga2 0.0441 0.7713 0.3551 1
Ga3 0.9559 0.2287 0.6449 1
Ga4 0.9559 0.2713 0.1449 1
# E above lowest polymorph, eV/atom: 0.022
# Crystal system: monoclinic
# Energy of formation from the pure elements, meV/atom: -298.6
# Uncorrected energy, Ry/atom: -0.28939
# Symmetry: P2_1/c (14)


2.
# PmCd2Ga | Alexandria | PBE | relaxed
data_PmCd2Ga
_symmetry_space_group_name_H-M 'P 1'
_symmetry_Int_Tables_number 1
_symmetry_space_group_name_Hall 'P 1'
_cell_length_a 10.6251
_cell_length_b 10.6251
_cell_length_c 4.7809
_cell_angle_alpha 90.00
_cell_angle_beta 90.00
_cell_angle_gamma 159.46
loop_
_atom_site_label
_atom_site_fract_x
_atom_site_fract_y
_atom_site_fract_z
_atom_site_occupancy
Pm1 0.1067 0.8933 0.7500 1
Pm2 0.8933 0.1067 0.2500 1
Cd1 0.2593 0.7407 0.2500 1
Cd2 0.4681 0.5319 0.7500 1
Cd3 0.5319 0.4681 0.2500 1
Cd4 0.7407 0.2593 0.7500 1
Ga1 0.3405 0.6595 0.7500 1
Ga2 0.6595 0.3405 0.2500 1
# Crystal system: orthorhombic
# Energy of formation from the pure elements, meV/atom: -339.5
# Uncorrected energy, Ry/atom: -0.20149
# Symmetry: Cmcm (63)